[1]
! Sr2ZnGePd6 | the Alexandria database | PBE | optimized geometry; values from VASP
&SYSTEM
  ibrav = 0, nat = 10, ntyp = 4
/
ATOMIC_SPECIES
Sr 87.62 Sr.upf
Zn 65.41 Zn.upf
Ge 72.64 Ge.upf
Pd 106.42 Pd.upf
CELL_PARAMETERS angstrom
5.659 0.000 0.000
2.828 6.039 0.000
2.817 -0.479 6.204
ATOMIC_POSITIONS crystal
Sr 0.035 0.222 0.207
Sr 0.965 0.778 0.793
Zn 0.500 0.500 0.000
Ge 0.500 0.000 0.500
Pd 0.005 0.248 0.733
Pd 0.357 0.396 0.394
Pd 0.486 0.754 0.265
Pd 0.514 0.246 0.735
Pd 0.643 0.604 0.606
Pd 0.995 0.752 0.267
! ΔH_f (0 K) = -0.554 eV/atom
! Symmetry = P-1, No. 2
! DFT total energy = -45.9 eV per formula unit


[2]
! ThSc5Tl | the Alexandria database | PBE | optimized geometry; values from VASP
&SYSTEM
  ibrav = 0, nat = 7, ntyp = 3
/
ATOMIC_SPECIES
Th 232.04 Th.upf
Sc 44.96 Sc.upf
Tl 204.38 Tl.upf
CELL_PARAMETERS angstrom
4.801 0.000 0.000
0.000 4.801 0.000
0.000 0.000 8.151
ATOMIC_POSITIONS crystal
Th 0.000 0.000 0.000
Sc 0.000 0.500 0.280
Sc 0.000 0.500 0.720
Sc 0.500 0.000 0.280
Sc 0.500 0.000 0.720
Sc 0.500 0.500 0.000
Tl 0.500 0.500 0.500
! ΔH_f (0 K) = 0.046 eV/atom
! Symmetry = P4/mmm, No. 123
! DFT total energy = -41.1 eV per formula unit


[3]
! CaBeF2 | the Alexandria database | PBE | optimized geometry; values from VASP
&SYSTEM
  ibrav = 0, nat = 4, ntyp = 3
/
ATOMIC_SPECIES
Ca 40.08 Ca.upf
Be 9.01 Be.upf
F 19.00 F.upf
CELL_PARAMETERS angstrom
0.000 3.060 3.060
3.060 0.000 3.060
3.060 3.060 0.000
ATOMIC_POSITIONS crystal
Ca 0.000 0.000 0.000
Be 0.500 0.500 0.500
F 0.250 0.250 0.250
F 0.750 0.750 0.750
! Raw formation energy = -1.652 eV per atom
! Symmetry = Fm-3m, No. 225
! DFT total energy = -16.1 eV per formula unit


[4]
! Zn2Cd5Sn | the Alexandria database | PBE | optimized geometry; values from VASP
&SYSTEM
  ibrav = 0, nat = 8, ntyp = 3
/
ATOMIC_SPECIES
Zn 65.41 Zn.upf
Cd 112.41 Cd.upf
Sn 118.71 Sn.upf
CELL_PARAMETERS angstrom
-1.705 4.673 5.484
1.705 -4.673 5.484
1.705 4.673 -5.484
ATOMIC_POSITIONS crystal
Zn 0.234 0.234 0.000
Zn 0.766 0.766 0.000
Cd 0.142 0.864 0.278
Cd 0.415 0.136 0.278
Cd 0.500 0.500 0.000
Cd 0.585 0.864 0.722
Cd 0.858 0.136 0.722
Sn 0.000 0.500 0.500
! ΔH_f (0 K) = 0.072 eV/atom
! Symmetry = Immm, No. 71
! DFT total energy = -10.5 eV per formula unit


[5]
! PrNd7Ho3 | the Alexandria database | PBE | optimized geometry; values from VASP
&SYSTEM
  ibrav = 0, nat = 11, ntyp = 3
/
ATOMIC_SPECIES
Pr 140.91 Pr.upf
Nd 144.24 Nd.upf
Ho 164.93 Ho.upf
CELL_PARAMETERS angstrom
11.065 0.000 0.000
-5.532 9.582 0.000
0.000 0.000 3.629
ATOMIC_POSITIONS crystal
Pr 0.000 0.000 0.000
Nd 0.026 0.513 0.000
Nd 0.333 0.667 0.500
Nd 0.405 0.202 0.500
Nd 0.487 0.513 0.000
Nd 0.487 0.974 0.000
Nd 0.798 0.202 0.500
Nd 0.798 0.595 0.500
Ho 0.156 0.313 0.500
Ho 0.156 0.844 0.500
Ho 0.687 0.844 0.500
! ΔH_f (0 K) = 0.126 eV/atom
! Symmetry = P-6m2, No. 187
! DFT total energy = -50.5 eV per formula unit


[6]
! YCr2W | the Alexandria database | PBE | optimized geometry; values from VASP
&SYSTEM
  ibrav = 0, nat = 4, ntyp = 3
/
ATOMIC_SPECIES
Y 88.91 Y.upf
Cr 52.00 Cr.upf
W 183.84 W.upf
CELL_PARAMETERS angstrom
2.931 -4.245 0.000
2.931 4.245 0.000
-0.953 0.000 2.598
ATOMIC_POSITIONS crystal
Y 0.000 0.000 0.000
Cr 0.000 0.500 0.500
Cr 0.500 0.000 0.500
W 0.500 0.500 0.000
! ΔH_f (0 K) = 0.728 eV/atom
! Symmetry = C2/m, No. 12
! DFT total energy = -35.8 eV per formula unit


[7]
! Si2AgOs | the Alexandria database | PBE | optimized geometry; values from VASP
&SYSTEM
  ibrav = 0, nat = 4, ntyp = 3
/
ATOMIC_SPECIES
Si 28.09 Si.upf
Ag 107.87 Ag.upf
Os 190.23 Os.upf
CELL_PARAMETERS angstrom
2.926 0.000 0.000
0.000 2.926 0.000
0.000 0.000 7.306
ATOMIC_POSITIONS crystal
Si 0.000 0.000 0.204
Si 0.000 0.000 0.796
Ag 0.500 0.500 0.500
Os 0.500 0.500 0.000
! Raw formation energy = 0.143 eV per atom
! Symmetry = P4/mmm, No. 123
! DFT total energy = -24.4 eV per formula unit


[8]
! Ce2Pm5Rh4 | the Alexandria database | PBE | optimized geometry; values from VASP
&SYSTEM
  ibrav = 0, nat = 11, ntyp = 3
/
ATOMIC_SPECIES
Ce 140.12 Ce.upf
Pm 145.00 Pm.upf
Rh 102.91 Rh.upf
CELL_PARAMETERS angstrom
12.226 -1.808 0.000
12.226 1.808 0.000
-1.857 0.000 6.850
ATOMIC_POSITIONS crystal
Ce 0.085 0.085 0.200
Ce 0.915 0.915 0.800
Pm 0.136 0.136 0.743
Pm 0.231 0.231 0.265
Pm 0.500 0.500 0.500
Pm 0.769 0.769 0.735
Pm 0.864 0.864 0.257
Rh 0.030 0.030 0.840
Rh 0.339 0.339 0.552
Rh 0.661 0.661 0.448
Rh 0.970 0.970 0.160
! ΔH_f (0 K) = -0.394 eV/atom
! Symmetry = C2/m, No. 12
! DFT total energy = -69.4 eV per formula unit


[9]
! KGaCo2Ag | the Alexandria database | PBE | optimized geometry; values from VASP
&SYSTEM
  ibrav = 0, nat = 5, ntyp = 4
/
ATOMIC_SPECIES
K 39.10 K.upf
Ga 69.72 Ga.upf
Co 58.93 Co.upf
Ag 107.87 Ag.upf
CELL_PARAMETERS angstrom
4.503 0.000 0.000
0.000 4.503 0.000
0.000 0.000 5.715
ATOMIC_POSITIONS crystal
K 0.000 0.000 0.000
Ga 0.000 0.000 0.500
Co 0.000 0.500 0.500
Co 0.500 0.000 0.500
Ag 0.500 0.500 0.000
! ΔH_f (0 K) = 0.995 eV/atom
! Symmetry = P4/mmm, No. 123
! DFT total energy = -16.2 eV per formula unit


[10]
! Hf2Ni4Ir | the Alexandria database | PBE | optimized geometry; values from VASP
&SYSTEM
  ibrav = 0, nat = 7, ntyp = 3
/
ATOMIC_SPECIES
Hf 178.49 Hf.upf
Ni 58.69 Ni.upf
Ir 192.22 Ir.upf
CELL_PARAMETERS angstrom
3.814 -2.495 0.000
3.814 2.495 0.000
-0.239 0.000 5.261
ATOMIC_POSITIONS crystal
Hf 0.181 0.181 0.191
Hf 0.819 0.819 0.809
Ni 0.225 0.225 0.700
Ni 0.276 0.724 0.500
Ni 0.724 0.276 0.500
Ni 0.775 0.775 0.300
Ir 0.500 0.500 0.000
! ΔH_f (0 K) = -0.445 eV/atom
! Symmetry = C2/m, No. 12
! DFT total energy = -55.0 eV per formula unit


[11]
! KCa | the Alexandria database | PBE | optimized geometry; values from VASP
&SYSTEM
  ibrav = 0, nat = 4, ntyp = 2
/
ATOMIC_SPECIES
K 39.10 K.upf
Ca 40.08 Ca.upf
CELL_PARAMETERS angstrom
2.312 -3.286 0.000
2.312 3.286 0.000
0.000 0.000 13.988
ATOMIC_POSITIONS crystal
K 0.250 0.750 0.857
K 0.750 0.250 0.143
Ca 0.250 0.750 0.395
Ca 0.750 0.250 0.605
! ΔH_f (0 K) = 0.106 eV/atom
! Symmetry = Cmme, No. 67
! DFT total energy = -2.9 eV per formula unit


[12]
! Hf2Ti2In3 | the Alexandria database | PBE | optimized geometry; values from VASP
&SYSTEM
  ibrav = 0, nat = 7, ntyp = 3
/
ATOMIC_SPECIES
Hf 178.49 Hf.upf
Ti 47.87 Ti.upf
In 114.82 In.upf
CELL_PARAMETERS angstrom
-1.502 2.448 10.043
1.502 -2.448 10.043
1.502 2.448 -10.043
ATOMIC_POSITIONS crystal
Hf 0.074 0.074 0.000
Hf 0.926 0.926 0.000
Ti 0.358 0.858 0.500
Ti 0.642 0.142 0.500
In 0.206 0.706 0.500
In 0.500 0.500 0.000
In 0.794 0.294 0.500
! ΔH_f (0 K) = 0.133 eV/atom
! Symmetry = Immm, No. 71
! DFT total energy = -43.0 eV per formula unit


> Among the records above, which one has the lowest DFT total energy?

Ce2Pm5Rh4


> DFT total energy of number 8 (Ce2Pm5Rh4)?

-69.4 eV per formula unit


> What is the DFT total energy in the twelfth record?

-43.0 eV per formula unit


> Which formula does entry 1 have?

Sr2ZnGePd6